Record 1
Na3Sb4Pd7: relaxed, GGA-PBE.

Summary:
- VASP energy: -62.8 eV per cell
- Uncorrected formation energy: -0.4308 eV per atom

Cell and atoms, written as POSCAR:
```
Na3Sb4Pd7
1.0
8.225 -2.193 0.000
8.225 2.193 0.000
-5.137 0.000 7.875
Na Sb Pd
3 4 7
Cartesian
0.000 0.000 0.000
3.822 0.000 2.619
7.492 0.000 5.256
-0.107 0.000 3.003
0.393 0.000 7.504
10.920 0.000 0.371
11.420 0.000 4.872
-2.569 0.000 3.937
-2.236 0.000 6.788
1.596 0.000 5.058
6.850 0.000 2.080
4.463 0.000 5.794
9.717 0.000 2.816
13.549 0.000 1.087
```


Record 2
NaInHgPt: relaxed, GGA-PBE.

Summary:
- VASP energy: -11.3 eV per cell
- E_form: -0.226 eV per atom

Cell and atoms, written as POSCAR:
```
NaInHgPt
1.0
0.000 3.410 3.410
3.410 0.000 3.410
3.410 3.410 0.000
Na In Hg Pt
1 1 1 1
Cartesian
0.000 0.000 0.000
1.705 1.705 1.705
5.115 5.115 5.115
3.410 3.410 3.410
```


Record 3
ZnAgCl2: relaxed, GGA-PBE.

Summary:
- VASP energy: -18.3 eV per cell
- Uncorrected formation energy: -0.3390 eV per atom
- Energy relative to the lowest polymorph listed for this composition: 173 meV per atom

Cell and atoms, written as POSCAR:
```
ZnAgCl2
1.0
-2.938 2.938 6.332
2.938 -2.938 6.332
2.938 2.938 -6.332
Zn Ag Cl
2 2 4
Cartesian
0.000 0.000 0.000
0.000 2.938 3.166
2.938 0.000 3.166
0.000 0.000 6.332
4.407 1.383 -1.583
1.383 1.469 1.583
-1.469 1.555 4.749
1.555 1.469 7.915
```


Record 4
RbMgTa2P: relaxed, GGA-PBE.

Summary:
- VASP energy: -27.4 eV per cell
- E_form: 0.853 eV per atom

Cell and atoms, written as POSCAR:
```
RbMgTa2P
1.0
4.740 0.000 0.000
0.000 4.740 0.000
0.000 0.000 5.900
Rb Mg Ta P
1 1 2 1
Cartesian
0.000 0.000 0.000
2.370 2.370 0.000
0.000 2.370 2.950
2.370 0.000 2.950
0.000 0.000 2.950
```


Record 5
PmPr6Sn10: relaxed, GGA-PBE.

Summary:
- VASP energy: -83.0 eV per cell
- E_form: -0.560 eV per atom

Cell and atoms, written as POSCAR:
```
PmPr6Sn10
1.0
9.463 0.000 0.000
-4.731 8.195 0.000
0.000 0.000 6.524
Pm Pr Sn
1 6 10
Cartesian
0.000 0.000 0.000
-1.852 3.207 5.024
-2.880 4.988 1.501
3.703 0.000 5.024
1.852 3.207 1.501
5.760 0.000 1.501
2.880 4.988 5.024
-1.192 2.065 2.106
-3.539 6.130 4.418
2.385 0.000 2.106
1.192 2.065 4.418
0.000 5.463 0.000
0.000 5.463 3.262
4.731 2.732 0.000
4.731 2.732 3.262
7.078 0.000 4.418
3.539 6.130 2.106
```


Record 6
Ac6OsSe3S2: relaxed, GGA-PBE.

Summary:
- VASP energy: -73.5 eV per cell
- Uncorrected formation energy: -1.5797 eV per atom

Cell and atoms, written as POSCAR:
```
Ac6OsSe3S2
1.0
3.835 -6.626 0.000
3.835 6.626 0.000
-2.537 0.000 7.308
Ac Os Se S
6 1 3 2
Cartesian
1.233 2.122 1.693
-0.089 0.000 5.609
1.233 -2.122 1.693
3.900 2.122 5.615
5.222 0.000 1.698
3.900 -2.122 5.615
0.000 0.000 0.000
2.566 4.343 3.654
2.566 0.000 3.654
2.566 -4.343 3.654
3.835 2.203 0.000
3.835 -2.203 0.000
```


Record 7
RbSi3Pb: relaxed, GGA-PBE.

Summary:
- VASP energy: -11.1 eV per cell
- Uncorrected formation energy: 1.9759 eV per atom
- Energy relative to the lowest polymorph listed for this composition: 875 meV per atom

Cell and atoms, written as POSCAR:
```
RbSi3Pb
1.0
5.509 0.000 0.000
0.000 5.509 0.000
0.000 0.000 5.509
Rb Si Pb
1 3 1
Cartesian
0.000 0.000 0.000
0.000 0.000 2.755
0.000 2.755 0.000
2.755 0.000 0.000
2.755 2.755 2.755
```


Record 8
Nb2CdInIr: relaxed, GGA-PBE.

Summary:
- VASP energy: -24.1 eV per cell
- E_form: 1.704 eV per atom

Cell and atoms, written as POSCAR:
```
Nb2CdInIr
1.0
4.982 0.000 0.000
0.000 4.982 0.000
0.000 0.000 4.853
Nb Cd In Ir
2 1 1 1
Cartesian
0.000 2.491 0.000
2.491 0.000 0.000
0.000 0.000 0.000
2.491 2.491 2.427
0.000 0.000 2.427
```


Record 9
KZr2Zn2: relaxed, GGA-PBE.

Summary:
- VASP energy: -16.8 eV per cell
- E_form: 0.783 eV per atom
- Energy relative to the lowest polymorph listed for this composition: 611 meV per atom

Cell and atoms, written as POSCAR:
```
KZr2Zn2
1.0
5.219 0.000 0.000
0.000 5.219 0.000
0.000 0.000 4.774
K Zr Zn
1 2 2
Cartesian
0.000 0.000 0.000
0.000 2.609 2.387
2.609 0.000 2.387
2.609 2.609 0.000
2.609 2.609 2.387
```


Record 10
TbBiIr: relaxed, GGA-PBE.

Summary:
- VASP energy: -36.6 eV per cell
- E_form: -0.311 eV per atom

Cell and atoms, written as POSCAR:
```
TbBiIr
1.0
-1.909 1.909 11.185
1.909 -1.909 11.185
1.909 1.909 -11.185
Tb Bi Ir
2 2 2
Cartesian
0.000 0.000 3.715
0.000 0.000 18.655
0.000 0.000 9.446
0.000 0.000 12.924
0.000 0.000 6.566
0.000 0.000 15.804
```


Record 11
KSc3Si: relaxed, GGA-PBE.

Summary:
- VASP energy: -18.1 eV per cell
- Uncorrected formation energy: 1.4762 eV per atom
- Energy relative to the lowest polymorph listed for this composition: 1254 meV per atom

Cell and atoms, written as POSCAR:
```
KSc3Si
1.0
4.794 0.000 0.000
0.000 4.794 0.000
0.000 0.000 4.794
K Sc Si
1 3 1
Cartesian
0.000 0.000 0.000
0.000 0.000 2.397
0.000 2.397 0.000
2.397 0.000 0.000
2.397 2.397 2.397
```


Record 12
Zn2AgSb: relaxed, GGA-PBE.

Summary:
- VASP energy: -9.0 eV per cell
- Uncorrected formation energy: 0.1339 eV per atom

Cell and atoms, written as POSCAR:
```
Zn2AgSb
1.0
3.105 0.000 0.000
0.000 3.105 0.000
0.000 0.000 8.023
Zn Ag Sb
2 1 1
Cartesian
0.000 0.000 0.000
1.552 1.552 1.544
0.000 0.000 3.307
1.552 1.552 5.635
```


- Which value of VASP energy does entry 10 give?
  -36.6 eV per cell


- Look up the VASP energy of the eleventh one.
  -18.1 eV per cell